A relaxed structure of LaTlP2, computed with PBE.

```
LaTlP2
1.0
-0.231 5.848 1.918
-3.556 4.259 -2.674
-0.306 -5.741 2.209
Tl La P
1 1 2
Direct
0.500 0.500 0.000 Tl
0.750 0.250 0.500 La
0.000 0.000 0.000 P
0.250 0.750 0.500 P
```

Results
Its space group is I-4m2. As for the total magnetization: 0.00 μB/f.u. The value obtained for the energy relative to the elements is -1.59 eV per formula unit.